(1)
Material: GaAgO3
Method: DFT, PBE
State: optimized geometry

Space group   R-3c, No. 167
Energy   -4.7074 eV per atom

a b c (Å): 5.303 5.303 5.303
angles (deg): 60.81 60.81 60.81
Fractional coordinates of all 10 atoms:
Ag1 0.250 0.250 0.250
Ag2 0.750 0.750 0.750
Ga1 0.000 0.000 0.000
Ga2 0.500 0.500 0.500
O1 0.750 0.356 0.144
O2 0.644 0.856 0.250
O3 0.144 0.750 0.356
O4 0.856 0.250 0.644
O5 0.356 0.144 0.750
O6 0.250 0.644 0.856

(2)
Material: GaAgO3
Method: DFT, PBE
State: optimized geometry

Space group   R-3c, No. 167
Energy   -4.7923 eV per atom

a b c (Å): 5.569 5.569 5.569
angles (deg): 57.98 57.98 57.98
Fractional coordinates of all 10 atoms:
Ag1 0.000 0.000 0.000
Ag2 0.500 0.500 0.500
Ga1 0.250 0.250 0.250
Ga2 0.750 0.750 0.750
O1 0.750 0.411 0.089
O2 0.589 0.911 0.250
O3 0.089 0.750 0.411
O4 0.911 0.250 0.589
O5 0.411 0.089 0.750
O6 0.250 0.589 0.911

(3)
Material: GaAgO3
Method: DFT, PBE
State: optimized geometry

Space group   P4mm, No. 99
Energy   -4.5605 eV per atom

a b c (Å): 3.810 3.810 3.851
angles (deg): 90.00 90.00 90.00
Fractional coordinates of all 5 atoms:
Ag1 0.000 0.000 0.067
Ga1 0.500 0.500 0.576
O1 0.500 0.500 0.079
O2 0.500 0.000 0.589
O3 0.000 0.500 0.589

(4)
Material: Ga2Ag2O5
Method: DFT, PBE
State: optimized geometry

E above lowest polymorph   0.000 eV per atom
Space group   P4/mmm, No. 123

a b c (Å): 7.784 3.705 3.705
angles (deg): 90.00 90.00 90.00
Fractional coordinates of all 9 atoms:
Ag1 0.000 0.000 0.000
Ag2 0.500 0.000 0.000
Ga1 0.260 0.500 0.500
Ga2 0.740 0.500 0.500
O1 0.183 0.500 0.000
O2 0.817 0.500 0.000
O3 0.183 0.000 0.500
O4 0.817 0.000 0.500
O5 0.500 0.500 0.500

(5)
Material: GaAgO3
Method: DFT, PBE
State: optimized geometry

Space group   R-3, No. 148
Energy   -4.8644 eV per atom

a b c (Å): 5.243 5.243 5.645
angles (deg): 62.33 62.33 60.00
Fractional coordinates of all 10 atoms:
Ag1 0.853 0.853 0.440
Ag2 0.147 0.147 0.560
Ga1 0.649 0.649 0.054
Ga2 0.351 0.351 0.946
O1 0.550 0.278 0.222
O2 0.278 0.950 0.222
O3 0.950 0.550 0.222
O4 0.050 0.450 0.778
O5 0.722 0.050 0.778
O6 0.450 0.722 0.778

(6)
Material: Ga2Ag2O5
Method: DFT, PBE
State: optimized geometry

E above lowest polymorph   0.588 eV per atom
Space group   P4/mmm, No. 123

a b c (Å): 8.276 3.777 3.777
angles (deg): 90.00 90.00 90.00
Fractional coordinates of all 9 atoms:
Ag1 0.234 0.500 0.500
Ag2 0.766 0.500 0.500
Ga1 0.000 0.000 0.000
Ga2 0.500 0.000 0.000
O1 0.143 0.500 0.000
O2 0.857 0.500 0.000
O3 0.143 0.000 0.500
O4 0.857 0.000 0.500
O5 0.500 0.500 0.500

(7)
Material: GaAgO2
Method: DFT, PBE
State: optimized geometry

Space group   I-42d, No. 122
Energy   -5.1095 eV per atom

a b c (Å): 5.562 5.562 5.562
angles (deg): 125.27 125.27 81.10
Fractional coordinates of all 8 atoms:
Ag1 0.000 0.000 0.000
Ag2 0.750 0.250 0.500
Ga1 0.500 0.500 0.000
Ga2 0.250 0.750 0.500
O1 0.875 0.462 0.087
O2 0.538 0.625 0.413
O3 0.212 0.125 0.587
O4 0.375 0.788 0.913

(8)
Material: GaAgO3
Method: DFT, PBE
State: optimized geometry

Space group   Pnma, No. 62
Energy   -4.8117 eV per atom

a b c (Å): 5.130 5.419 7.628
angles (deg): 90.00 90.00 90.00
Fractional coordinates of all 20 atoms:
Ag1 0.976 0.079 0.250
Ag2 0.524 0.579 0.250
Ag3 0.476 0.421 0.750
Ag4 0.024 0.921 0.750
Ga1 0.500 0.000 0.000
Ga2 0.000 0.500 0.000
Ga3 0.500 0.000 0.500
Ga4 0.000 0.500 0.500
O1 0.703 0.291 0.071
O2 0.797 0.791 0.071
O3 0.137 0.438 0.250
O4 0.363 0.938 0.250
O5 0.703 0.291 0.429
O6 0.797 0.791 0.429
O7 0.203 0.209 0.571
O8 0.297 0.709 0.571
O9 0.637 0.062 0.750
O10 0.863 0.562 0.750
O11 0.203 0.209 0.929
O12 0.297 0.709 0.929

(9)
Material: GaAgO2
Method: DFT, PBE
State: optimized geometry

Space group   Pnma, No. 62
Energy   -5.0670 eV per atom

a b c (Å): 5.213 2.897 13.015
angles (deg): 90.00 90.03 90.00
Fractional coordinates of all 16 atoms:
Ag1 0.198 0.250 0.057
Ag2 0.698 0.750 0.443
Ag3 0.302 0.250 0.557
Ag4 0.802 0.750 0.943
Ga1 0.678 0.250 0.189
Ga2 0.178 0.750 0.311
Ga3 0.822 0.250 0.689
Ga4 0.322 0.750 0.811
O1 0.641 0.750 0.095
O2 0.045 0.250 0.216
O3 0.545 0.750 0.284
O4 0.141 0.250 0.405
O5 0.859 0.750 0.595
O6 0.455 0.250 0.716
O7 0.955 0.750 0.784
O8 0.359 0.250 0.905

(10)
Material: GaAgPO
Method: DFT, PBE
State: optimized geometry

E above lowest polymorph   0.000 eV per atom
Space group   Pmc2_1, No. 26

a b c (Å): 3.031 6.860 6.502
angles (deg): 90.00 90.00 90.00
Fractional coordinates of all 8 atoms:
Ag1 0.000 0.861 0.035
Ag2 0.000 0.139 0.535
Ga1 0.500 0.671 0.478
Ga2 0.500 0.329 0.978
O1 0.000 0.815 0.400
O2 0.000 0.185 0.900
P1 0.500 0.353 0.341
P2 0.500 0.647 0.841

(11)
Material: GaAgPO
Method: DFT, PBE
State: optimized geometry

E above lowest polymorph   0.353 eV per atom
Space group   P4/nmm, No. 129

a b c (Å): 3.736 3.736 8.878
angles (deg): 90.00 90.00 90.00
Fractional coordinates of all 8 atoms:
Ag1 0.750 0.250 0.500
Ag2 0.250 0.750 0.500
Ga1 0.250 0.250 0.098
Ga2 0.750 0.750 0.902
O1 0.750 0.250 0.000
O2 0.250 0.750 0.000
P1 0.750 0.750 0.294
P2 0.250 0.250 0.706

(12)
Material: GaAgPO
Method: DFT, PBE
State: optimized geometry

E above lowest polymorph   0.647 eV per atom
Space group   P4/nmm, No. 129

a b c (Å): 4.179 4.179 8.290
angles (deg): 90.00 90.00 90.00
Fractional coordinates of all 8 atoms:
Ag1 0.000 0.500 0.059
Ag2 0.500 0.000 0.941
Ga1 0.000 0.000 0.500
Ga2 0.500 0.500 0.500
O1 0.000 0.000 0.000
O2 0.500 0.500 0.000
P1 0.500 0.000 0.339
P2 0.000 0.500 0.661

Across the entries above, ρ takes the values 7.0; 6.4; 6.7; 6.8; 6.6; 6.1; 6.3; 7.1; 7.1; 5.5; 6.0; 5.2 g/cm³, respectively.
Across the entries above, volume takes the values 10.73; 11.65; 11.18; 11.87; 11.34; 13.12; 13.81; 10.60; 12.28; 16.90; 15.49; 18.10 A^3/atom, respectively.